1.
# CePt2Rh3

CePt2Rh3 after structural relaxation (PBE, Alexandria).

Calculated values
uncorrected energy = -7.143 eV/atom
N(E_F) = 46.68 states/eV per cell
crystal system = trigonal

a = 5.6926 Å, b = 5.6926 Å, c = 21.0824 Å
α = 90.00°, β = 90.00°, γ = 120.00°
Space group R-3m (No. 166, hexagonal axes)
Inequivalent atoms, fractional coordinates:
1 Ce 0.0000 0.0000 0.2172 x6
2 Pt 0.0000 0.0000 0.0000 x3
3 Pt 0.0000 0.5000 0.0000 x9
4 Rh 0.0095 0.5048 0.2240 x18

=====

2.
# K3SmHo3Te8

K3SmHo3Te8 after structural relaxation (PBE, Alexandria).

Calculated values
uncorrected energy = -4.443 eV/atom
N(E_F) = 14.08 states/eV per cell
formation energy without anion corrections = -1317 meV/atom
crystal system = monoclinic

a = 15.2544 Å, b = 8.7991 Å, c = 9.8827 Å
α = 90.00°, β = 120.96°, γ = 90.00°
Space group C2/m (No. 12)
Inequivalent atoms, fractional coordinates:
1 K 0.0000 0.0000 0.0000 x2
2 K 0.2500 0.2500 0.0000 x4
3 Sm 0.0000 0.0000 0.5000 x2
4 Ho 0.0000 0.5000 0.5000 x2
5 Ho 0.2500 0.2500 0.5000 x4
6 Te 0.0154 0.2563 0.2902 x8
7 Te 0.2360 0.5000 0.7078 x4
8 Te 0.2408 0.0000 0.7098 x4

=====

3.
# SrLiGePt

SrLiGePt after structural relaxation (PBE, Alexandria).

Calculated values
uncorrected energy = -4.269 eV/atom
N(E_F) = 9.50 states/eV per cell
crystal system = trigonal

a = 4.4069 Å, b = 4.4069 Å, c = 15.9692 Å
α = 90.00°, β = 90.00°, γ = 120.00°
Space group R3m (No. 160, hexagonal axes)
Inequivalent atoms, fractional coordinates:
1 Sr 0.0000 0.0000 0.0000 x3
2 Li 0.0000 0.0000 0.1890 x3
3 Ge 0.0000 0.0000 0.4760 x3
4 Pt 0.0000 0.0000 0.8021 x3